a.
Nb3BiO | GGA-PBE | relaxed

Geometry as extended XYZ:
```
5
Lattice="-3.8996 -0.1656 1.9649 0.4728 -4.3059 0.5754 1.9144 0.7261 3.8605" Properties=species:S:1:pos:R:3 pbc="T T T"
Nb 0.2364 -2.1529 0.2877
O 0.0000 0.0000 0.0000
Nb 0.9572 0.3631 1.9302
Bi -0.7562 -1.8727 3.2004
Nb -1.9498 -0.0828 0.9825
```

## Properties
- Volume: 16.688 Å³/atom
- Magnetization: 0.000 μB/f.u.
- Mass density: 10.02 g cm⁻³

=====

b.
Nb3BiO | GGA-PBE | relaxed

Geometry as extended XYZ:
```
5
Lattice="-2.5338 4.3789 -1.2114 -3.1865 -2.7015 -3.1000 -3.2385 -0.7679 3.9981" Properties=species:S:1:pos:R:3 pbc="T T T"
Nb -1.2669 2.1894 -0.6057
Nb -1.6193 -0.3839 1.9990
Nb -1.5933 -1.3507 -1.5500
Bi 0.0000 0.0000 0.0000
O -4.4794 0.4548 -0.1567
```

## Properties
- Volume: 28.156 Å³/atom
- Magnetization: 0.977 μB/f.u.
- Mass density: 5.94 g cm⁻³

=====

a is favored, and the nearest alternative lies 3012 meV/atom above it.